1.
Density functional theory data (PBE) for crystalline NaCa2TlPt at its relaxed geometry.

POSCAR file:
```
NaCa2TlPt
1.0
-3.5664 3.7817 2.1101
-3.9647 -1.7516 -3.5618
-1.6532 -3.5638 3.5928
Tl Pt Ca Na
1 1 2 1
Cartesian
-0.8266 -1.7819 1.7964
0.0000 0.0000 0.0000
-1.9824 -0.8758 -1.7809
-1.7832 1.8909 1.0551
-4.5922 -0.7668 1.0706
```

Results
The value obtained for the density is 4.981 Mg/m³. The total energy comes out at -3.114 eV/atom. The energy of formation from the pure elements is -0.37 eV/atom. The excess energy over the best structure of this formula in the dataset is 0.00 kcal/mol of atoms. Its space group is P4/mmm (123).



2.
Density functional theory data (PBE) for crystalline KRbTl3 at its relaxed geometry.

POSCAR file:
```
KRbTl3
1.0
6.3546 0.0000 0.0000
0.0000 6.3546 0.0000
0.0000 0.0000 6.3546
Tl K Rb
3 1 1
Cartesian
0.0000 3.1773 0.0000
3.1773 0.0000 0.0000
0.0000 0.0000 3.1773
0.0000 0.0000 0.0000
3.1773 3.1773 3.1773
```

Results
The value obtained for the density is 4.774 Mg/m³. The total energy comes out at -1.479 eV/atom. The energy of formation from the pure elements is 0.35 eV/atom. The excess energy over the best structure of this formula in the dataset is 9.47 kcal/mol of atoms. Its space group is Pm-3m (221).



3.
Density functional theory data (PBE) for crystalline Tb2ThMn at its relaxed geometry.

POSCAR file:
```
Tb2ThMn
1.0
-1.1259 0.7203 -3.1055
1.0120 -1.8569 -2.6379
-8.8165 -7.3781 -0.3553
Tb Th Mn
2 1 1
Cartesian
-1.8375 -2.1622 -3.5161
-7.0930 -6.3525 -2.5826
-4.4652 -4.2573 -3.0494
0.0000 0.0000 0.0000
```

Results
The value obtained for the density is 8.951 Mg/m³. The total energy comes out at -6.070 eV/atom. The energy of formation from the pure elements is 0.39 eV/atom. The excess energy over the best structure of this formula in the dataset is 5.49 kcal/mol of atoms. Its space group is R-3m (166).



4.
Density functional theory data (PBE) for crystalline TiGaBi3 at its relaxed geometry.

POSCAR file:
```
TiGaBi3
1.0
5.4418 0.0000 0.0000
0.0000 5.4418 0.0000
0.0000 0.0000 5.4418
Ti Bi Ga
1 3 1
Cartesian
0.0000 0.0000 0.0000
0.0000 0.0000 2.7209
0.0000 2.7209 0.0000
2.7209 0.0000 0.0000
2.7209 2.7209 2.7209
```

Results
The value obtained for the density is 7.672 Mg/m³. The total energy comes out at -4.270 eV/atom. The energy of formation from the pure elements is 0.24 eV/atom. The excess energy over the best structure of this formula in the dataset is 0.00 kcal/mol of atoms. Its space group is Pm-3m (221).



5.
Density functional theory data (PBE) for crystalline BaHfS3 at its relaxed geometry.

POSCAR file:
```
BaHfS3
1.0
5.4810 3.5205 6.6483
1.2595 9.2024 0.6043
-3.7347 4.7536 7.0774
S Hf Ba
12 4 4
Cartesian
1.6023 8.5487 9.8445
2.3538 12.9178 13.4270
4.3934 14.7347 10.7833
2.1549 13.2969 8.0681
1.4035 8.9278 4.4856
3.6420 10.3656 7.2008
-0.1218 10.8692 7.3761
0.6296 15.2384 10.9586
3.1276 6.6073 6.9540
-0.6362 7.1109 7.1293
0.1153 11.4800 10.7118
3.8791 10.9764 10.5365
3.7460 8.5460 5.4175
1.2489 6.3216 8.6541
-0.8619 9.1626 5.6321
1.8786 10.9228 8.9563
0.3757 2.1846 1.7913
-1.4916 4.5614 5.3300
1.0055 6.7858 2.0934
3.1162 3.9448 5.1154
```

Results
The value obtained for the density is 4.799 Mg/m³. The total energy comes out at -6.420 eV/atom. The value obtained for the raw formation energy is -1569 meV/atom. Its space group is Fd-3m (227).



6.
Density functional theory data (PBE) for crystalline Ag2BiN at its relaxed geometry.

POSCAR file:
```
Ag2BiN
1.0
-1.2964 -1.1186 -5.0692
5.0796 -1.3505 -1.0011
0.6588 -7.0573 -1.4350
N Ag Bi
2 4 2
Cartesian
3.8150 -4.8212 -2.7356
1.8916 -1.2346 -3.0351
0.2212 -2.4322 -2.7455
2.8959 -7.2120 -6.2087
2.8213 -6.4605 -3.5316
2.9455 -2.9483 -2.5247
0.0000 0.0000 0.0000
0.6270 -4.7052 -4.7697
```

Results
The value obtained for the density is 8.258 Mg/m³. The total energy comes out at -3.593 eV/atom. The value obtained for the raw formation energy is 884 meV/atom. The excess energy over the best structure of this formula in the dataset is 0.00 kcal/mol of atoms. Its space group is I-42d (122).